Compound: LaV2HgF
Source: Alexandria
Functional: GGA+U
Structure: optimized geometry

Output
Its total energy is -18.77 eV per formula unit. The value obtained for the magnetic moment is 8.0 μB/f.u.

abc: 5.206 5.206 5.081
angles: 90.00 90.00 90.00
Sites, in units of the cell vectors:
La: 0.000 0.000 0.000
V: 0.000 0.500 0.500
V: 0.500 0.000 0.500
Hg: 0.500 0.500 0.500
F: 0.500 0.500 0.000